The following is a meta-GGA SCAN calculation of a PBEsol-optimized structure of Ca3Ge3Mo2O12, from the Alexandria database.

```
80
Lattice="10.8164 0.0000 0.0000 -3.6055 10.1978 0.0000 -3.6055 -5.0989 8.8316" Properties=species:S:1:pos:R:3 pbc="T T T"
O 4.9297 5.6172 4.2376
O 2.7743 4.2321 5.1978
Ca -2.7041 0.0000 6.6237
O -5.9484 5.0377 7.1616
O -0.4786 0.8613 6.9834
O 1.3242 3.7194 2.7458
O 6.2394 2.7135 2.5676
Ge 4.5069 4.4616 5.5197
O 2.6339 6.6174 1.0662
Mo 3.6055 -2.5495 4.4158
O 6.7324 0.5183 4.5940
O -2.6339 2.3854 6.2640
Ca 4.5069 8.2857 1.1039
Ge -0.9014 2.5495 6.6237
O 2.2813 1.3796 6.0858
Ca 4.5069 0.6374 5.5197
O -1.8500 2.1396 3.3496
O -2.3430 8.7822 0.8880
Ca 6.3096 5.0989 2.2079
Mo 3.6055 5.0989 0.0000
O -1.3242 -0.5183 4.5940
Ca 2.7041 0.0000 2.2079
Ge -0.9014 0.6374 3.3118
Mo 0.0000 0.0000 0.0000
O 2.3430 3.6221 8.0496
O 0.4785 6.4785 2.7458
O -0.0472 -2.9593 5.4820
O 1.7555 6.9300 5.3038
Ge -2.7041 7.6484 2.2079
O 4.0840 4.2376 1.8482
O -0.8312 3.5804 1.0662
O 6.6707 -0.0612 1.6700
O 0.9716 -1.5185 7.7654
O 0.0472 3.2679 5.3038
O 0.8312 0.8669 3.6338
O 5.4554 2.9593 5.4820
O 4.5771 -0.8669 3.6338
Ge 6.3096 -0.6374 3.3118
Ca -0.9014 -3.1868 7.7276
O 0.5402 8.7210 0.7820
O -3.0653 5.1601 7.1616
Mo -3.6055 2.5495 4.4158
Ca 2.7041 5.7363 3.3118
O -2.7743 -2.3854 6.2640
O 9.5539 0.0612 1.6700
O 3.5583 1.8310 3.5278
O 6.3798 7.4843 2.5676
O 5.9484 -3.6833 7.9436
O 7.2582 3.9707 0.1782
O -3.1269 4.5807 4.2376
O 3.6527 8.0582 3.3496
Ge 2.7041 -1.9121 7.7276
O -3.6527 1.1283 8.6534
Ca 0.9014 -0.6374 5.5197
O 1.8500 -1.8310 3.5278
Ge 4.5069 2.5495 2.2079
Mo 1.8027 2.5495 4.4158
Ge 0.9014 7.0110 1.1039
O -1.7555 -1.1283 8.6534
O -0.9716 5.9658 5.1978
Ge 2.7041 1.9121 7.7276
Ca -4.5069 3.1868 7.7276
Ca 0.9014 5.0989 6.6237
Mo -1.8027 -2.5495 4.4158
Mo 5.4082 0.0000 0.0000
O 4.1457 1.4156 0.8880
Ge -2.7041 5.7363 5.5197
Ge 0.9014 3.1868 1.1039
Ca 8.1123 1.9121 1.1039
O -2.2813 5.9602 1.8482
Ca -0.9014 4.4616 3.3118
O 5.8868 -0.8613 6.9834
O 1.2625 1.4769 0.7820
Ge 6.3096 -2.5495 6.6237
O -0.5402 3.6833 7.9436
O 4.4367 1.5185 7.7654
O 3.1269 -1.3796 6.0858
Mo -1.8027 5.0989 0.0000
O 3.0653 -3.6220 8.0496
O 5.3610 6.2272 0.1782
```

The uncorrected formation energy comes out at -2.3679 eV per atom. As for the crystal system: cubic.

The following is a meta-GGA SCAN calculation of a PBEsol-optimized structure of CuSiTe2, from the Alexandria database.

```
4
Lattice="2.9639 -0.3375 -0.3704 0.5403 5.4124 0.2247 0.5403 -0.2787 5.4099" Properties=species:S:1:pos:R:3 pbc="T T T"
Si 0.0000 0.0000 0.0000
Te 0.2701 2.7062 0.1123
Cu 0.5403 2.5668 2.8173
Te 0.2701 -0.1394 2.7050
```

The uncorrected formation energy comes out at 0.3253 eV per atom. As for the crystal system: monoclinic.

The following is a meta-GGA SCAN calculation of a PBEsol-optimized structure of Cs3CrB, from the Alexandria database.

```
5
Lattice="-4.1682 -0.7222 -5.3801 3.0087 -5.9533 -1.5319 -4.5182 -3.2981 3.9432" Properties=species:S:1:pos:R:3 pbc="T T T"
Cs -2.2591 -1.6490 1.9716
B -2.8389 -4.9868 -1.4844
Cs 1.5043 -2.9767 -0.7659
Cr 0.0000 0.0000 0.0000
Cs -2.0841 -0.3611 -2.6900
```

Its formation energy is 1.416 eV/atom. As for the crystal system: cubic.

The following is a meta-GGA SCAN calculation of a PBEsol-optimized structure of Cd24Sb5, from the Alexandria database.

```
29
Lattice="9.4570 0.0000 0.0000 -3.1523 8.9162 0.0000 -3.1523 -4.4581 7.7216" Properties=species:S:1:pos:R:3 pbc="T T T"
Cd -1.8496 2.6941 1.4650
Cd 1.3027 4.3798 4.6560
Cd 1.3027 1.8424 6.1210
Sb -2.1588 6.1060 0.0000
Cd -1.1366 2.5649 4.4425
Cd 3.1565 -0.8458 1.4650
Cd 4.9995 1.3907 2.4088
Cd 2.7970 -0.2166 4.4425
Sb -2.1588 -3.0530 5.2879
Cd 4.4551 6.3005 1.6006
Cd -0.3553 -0.5025 5.6880
Sb 0.9936 1.4051 2.4337
Cd 2.7970 3.9556 2.0337
Cd -3.1482 3.6123 6.2567
Cd 1.8472 -3.0674 5.3128
Cd 0.5427 3.5399 0.0000
Cd 4.4551 -1.7640 6.2567
Cd -3.5077 0.7191 5.3128
Cd -3.5077 4.2415 3.2792
Cd 3.1565 1.6916 0.0000
Cd 5.1682 3.7864 0.0000
Cd 0.5427 -1.7699 3.0656
Cd 1.8472 6.1347 0.0000
Cd -0.3553 5.1772 2.4088
Cd 5.1682 -1.8932 3.2792
Sb 0.0000 0.0000 0.0000
Cd -1.8496 -0.0783 3.0656
Cd 3.6950 2.6882 4.6560
Sb 6.4763 0.0000 0.0000
```

The uncorrected formation energy comes out at 0.0678 eV per atom. As for the crystal system: cubic.

The following is a meta-GGA SCAN calculation of a PBEsol-optimized structure of TiTcPO2, from the Alexandria database.

```
5
Lattice="-1.9127 -3.0648 0.7588 1.7924 -0.3237 3.2109 -3.6175 2.8282 2.3045" Properties=species:S:1:pos:R:3 pbc="T T T"
O -0.9564 -1.5324 0.3794
Ti -1.8689 -0.2801 3.1371
P -1.8088 1.4141 1.1523
Tc 0.0000 0.0000 0.0000
O 0.8962 -0.1618 1.6054
```

The energy above the most stable polymorph in this dataset comes out at 231.0 meV/atom. The uncorrected formation energy comes out at -0.9181 eV per atom. As for the crystal system: tetragonal.

The following is a meta-GGA SCAN calculation of a PBEsol-optimized structure of Na2Se2I, from the Alexandria database.

```
5
Lattice="-3.1343 3.3827 -3.2133 -2.8026 -3.9521 3.4891 -2.6314 1.9150 4.5826" Properties=species:S:1:pos:R:3 pbc="T T T"
I 0.0000 0.0000 0.0000
Na -5.7256 1.9972 2.7715
Se -4.8905 -0.4656 4.2802
Se -3.6778 1.8111 0.5782
Na -2.8427 -0.6516 2.0869
```

The uncorrected formation energy comes out at -0.7953 eV per atom. As for the crystal system: tetragonal.

The following is a meta-GGA SCAN calculation of a PBEsol-optimized structure of AlTlIrC2, from the Alexandria database.

```
5
Lattice="3.9119 0.0000 0.0000 0.0000 3.9119 0.0000 0.0000 0.0000 5.3665" Properties=species:S:1:pos:R:3 pbc="T T T"
Tl 1.9559 1.9559 2.6832
Ir 0.0000 0.0000 0.0000
C 0.0000 1.9559 0.0000
C 1.9559 0.0000 0.0000
Al 0.0000 0.0000 2.6832
```

Its formation energy is 1.139 eV/atom. As for the crystal system: tetragonal.

The following is a meta-GGA SCAN calculation of a PBEsol-optimized structure of Ta2AuS2, from the Alexandria database.

```
5
Lattice="-0.7807 2.3993 -3.5762 -3.9444 1.0602 1.5724 4.0827 1.7572 2.9658" Properties=species:S:1:pos:R:3 pbc="T T T"
S -1.8908 2.6860 -0.4633
Au 0.0000 0.0000 0.0000
Ta -1.1122 2.2736 1.7681
S 1.2484 2.5306 1.4253
Ta 0.4697 2.9431 -0.8062
```

The uncorrected formation energy comes out at -0.2984 eV per atom. As for the crystal system: tetragonal.

The following is a meta-GGA SCAN calculation of a PBEsol-optimized structure of CdAgMo2, from the Alexandria database.

```
4
Lattice="2.6351 0.0000 0.0000 -1.3175 4.6979 -0.0101 0.0000 -0.4041 5.3084" Properties=species:S:1:pos:R:3 pbc="T T T"
Mo 0.0000 1.9819 4.0944
Ag 1.3175 -0.1917 2.5947
Cd 1.3175 2.2613 1.4000
Mo 0.0000 -0.3637 5.1720
```

Its formation energy is 0.456 eV/atom. As for the crystal system: monoclinic.

The following is a meta-GGA SCAN calculation of a PBEsol-optimized structure of MgTl2Cd, from the Alexandria database.

```
4
Lattice="3.4976 0.0000 0.0000 0.0000 5.4859 0.0000 -1.7488 -2.7429 5.2118" Properties=species:S:1:pos:R:3 pbc="T T T"
Tl 1.7488 2.7429 2.5927
Tl 0.0000 0.0000 2.6191
Cd 1.7488 0.0000 0.0000
Mg 0.0000 2.7429 0.0000
```

Its formation energy is 0.021 eV/atom. The energy above the most stable polymorph in this dataset comes out at 49.6 meV/atom. As for the crystal system: orthorhombic.

The following is a meta-GGA SCAN calculation of a PBEsol-optimized structure of Te4IrRu, from the Alexandria database.

```
6
Lattice="5.8931 0.0000 0.0000 2.9466 5.1036 0.0000 2.9466 1.7012 4.8117" Properties=species:S:1:pos:R:3 pbc="T T T"
Ru 0.0000 0.0000 0.0000
Te 4.4248 2.5547 1.8064
Te 5.8931 3.4024 4.2042
Te 5.8931 5.0978 1.8064
Ir 8.8397 5.1036 3.6088
Te 7.3614 2.5547 1.8064
```

The uncorrected formation energy comes out at 1.7023 eV per atom. As for the crystal system: cubic.

The following is a meta-GGA SCAN calculation of a PBEsol-optimized structure of Cs3RbAu, from the Alexandria database.

```
10
Lattice="8.7424 -0.0154 0.0000 -2.9481 8.2303 0.0000 0.0000 0.0000 10.2020" Properties=species:S:1:pos:R:3 pbc="T T T"
Cs 4.2662 6.0485 0.0000
Au 2.8519 4.1393 7.6515
Rb 5.7520 2.0938 2.5505
Cs 4.2662 6.0485 5.1010
Au 2.9424 4.0755 2.5505
Rb 0.0422 6.1211 7.6515
Cs 5.7259 2.1122 7.6515
Cs 1.5280 2.1663 0.0000
Cs 1.5280 2.1663 5.1010
Cs 0.0683 6.1027 2.5505
```

Its formation energy is -0.183 eV/atom. As for the crystal system: orthorhombic.

The following is a meta-GGA SCAN calculation of a PBEsol-optimized structure of LiSi2P, from the Alexandria database.

```
4
Lattice="3.6504 0.0000 0.0000 0.0000 3.6504 0.0000 0.0000 0.0000 4.1977" Properties=species:S:1:pos:R:3 pbc="T T T"
Si 0.0000 1.8252 0.0000
Li 1.8252 1.8252 2.0988
Si 1.8252 0.0000 0.0000
P 0.0000 0.0000 2.0988
```

The uncorrected formation energy comes out at 0.2213 eV per atom. As for the crystal system: tetragonal.

The following is a meta-GGA SCAN calculation of a PBEsol-optimized structure of KSeCl2, from the Alexandria database.

```
4
Lattice="-2.6166 -4.2636 -0.1966 2.3761 1.0473 4.7080 -2.9226 4.5119 0.0941" Properties=species:S:1:pos:R:3 pbc="T T T"
Se -1.5816 0.6478 2.3027
Cl -1.4613 2.2560 0.0470
K -1.3083 -2.1318 -0.0983
Cl 1.1880 0.5237 2.3540
```

The energy above the most stable polymorph in this dataset comes out at 192.4 meV/atom. The uncorrected formation energy comes out at -0.7667 eV per atom. As for the crystal system: monoclinic.

The following is a meta-GGA SCAN calculation of a PBEsol-optimized structure of LiNiRh2, from the Alexandria database.

```
4
Lattice="2.5556 0.0000 0.0000 0.0000 4.4740 -0.0222 0.0000 -1.4255 4.2409" Properties=species:S:1:pos:R:3 pbc="T T T"
Li 1.2778 0.0000 0.0000
Rh 0.0000 2.2370 -0.0111
Ni 1.2778 1.5243 2.1093
Rh 0.0000 -0.7127 2.1205
```

Its formation energy is -0.020 eV/atom. The energy above the most stable polymorph in this dataset comes out at 46.8 meV/atom. As for the crystal system: orthorhombic.

The following is a meta-GGA SCAN calculation of a PBEsol-optimized structure of Sc7In, from the Alexandria database.

```
8
Lattice="6.3773 0.0000 0.0000 3.1887 5.5229 0.0000 3.1887 1.8410 5.2071" Properties=species:S:1:pos:R:3 pbc="T T T"
Sc 6.3773 3.6820 2.6035
Sc 3.1887 0.0000 0.0000
Sc 4.7830 0.9205 2.6035
Sc 1.5943 0.9205 2.6035
In 0.0000 0.0000 0.0000
Sc 1.5943 2.7615 0.0000
Sc 4.7830 2.7615 0.0000
Sc 3.1887 3.6820 2.6035
```

Its formation energy is -0.119 eV/atom. As for the crystal system: cubic.

The following is a meta-GGA SCAN calculation of a PBEsol-optimized structure of Ba2InPb, from the Alexandria database.

```
4
Lattice="4.5065 0.0000 0.0000 0.0000 5.5933 0.0000 -2.2533 -2.7967 5.6697" Properties=species:S:1:pos:R:3 pbc="T T T"
Pb 2.2533 0.0000 3.2758
In 0.0000 0.0000 5.2301
Ba 0.0000 2.7967 2.5656
Ba 0.0000 0.0000 0.2678
```

Its formation energy is -0.641 eV/atom. The energy above the most stable polymorph in this dataset comes out at 71.9 meV/atom. As for the crystal system: orthorhombic.

The following is a meta-GGA SCAN calculation of a PBEsol-optimized structure of MgCd2In, from the Alexandria database.

```
4
Lattice="3.3014 -0.0008 -0.0085 1.6500 2.8594 -0.0085 1.6262 0.9389 9.4048" Properties=species:S:1:pos:R:3 pbc="T T T"
Mg 1.6441 0.9492 2.2885
Cd 4.9501 2.8579 -0.0134
In 3.2919 1.9006 4.6953
Cd 4.9317 2.8473 7.0942
```

Its formation energy is -0.046 eV/atom. As for the crystal system: monoclinic.

The following is a meta-GGA SCAN calculation of a PBEsol-optimized structure of Ti2GeI, from the Alexandria database.

```
4
Lattice="4.6447 0.0000 0.0000 2.3223 4.0224 0.0000 2.3223 1.3408 3.7924" Properties=species:S:1:pos:R:3 pbc="T T T"
Ge 0.0000 0.0000 0.0000
I 4.6447 2.6816 1.8962
Ti 2.3223 1.3408 0.9481
Ti 6.9670 4.0224 2.8443
```

The uncorrected formation energy comes out at 0.0083 eV per atom. As for the crystal system: cubic.

The following is a meta-GGA SCAN calculation of a PBEsol-optimized structure of Nb3FeC, from the Alexandria database.

```
5
Lattice="-1.5350 -0.3811 -4.1798 -4.0896 -0.8653 1.5808 -0.9441 4.3679 -0.0515" Properties=species:S:1:pos:R:3 pbc="T T T"
Nb -0.4720 2.1839 -0.0257
C -3.2843 1.5608 -1.3253
Nb -0.7675 -0.1905 -2.0899
Fe 0.0000 0.0000 0.0000
Nb -2.0448 -0.4326 0.7904
```

Its formation energy is 1.838 eV/atom. As for the crystal system: cubic.

The following is a meta-GGA SCAN calculation of a PBEsol-optimized structure of BaBeBr2, from the Alexandria database.

```
4
Lattice="-1.4841 4.1091 3.2900 -3.6900 -0.8523 3.9457 1.5551 0.0018 5.2450" Properties=species:S:1:pos:R:3 pbc="T T T"
Be 0.0000 0.0000 0.0000
Br -2.7130 2.4436 9.3616
Ba -1.8094 1.6293 6.2404
Br -0.9059 0.8150 3.1192
```

The energy above the most stable polymorph in this dataset comes out at 124.3 meV/atom. The uncorrected formation energy comes out at -0.9148 eV per atom. As for the crystal system: cubic.

The following is a meta-GGA SCAN calculation of a PBEsol-optimized structure of AlAg7, from the Alexandria database.

```
8
Lattice="2.8858 0.0000 0.0000 0.0000 5.7399 0.0000 0.0000 0.0000 7.9121" Properties=species:S:1:pos:R:3 pbc="T T T"
Ag 1.4429 2.8700 3.9561
Ag 0.0000 4.2776 1.9322
Ag 0.0000 1.4623 1.9322
Ag 0.0000 4.2776 5.9799
Ag 1.4429 0.0000 0.0000
Ag 1.4429 0.0000 3.9561
Ag 0.0000 1.4623 5.9799
Al 1.4429 2.8700 0.0000
```

Its formation energy is -0.040 eV/atom. The energy above the most stable polymorph in this dataset comes out at 6.9 meV/atom. As for the crystal system: orthorhombic.

The following is a meta-GGA SCAN calculation of a PBEsol-optimized structure of CoTcAu2, from the Alexandria database.

```
4
Lattice="3.8496 0.0000 0.0000 0.0000 3.8503 0.0000 -1.9248 -1.9251 3.9245" Properties=species:S:1:pos:R:3 pbc="T T T"
Tc 0.0000 1.9251 0.0000
Co 1.9248 0.0000 0.0000
Au 1.9248 1.9251 1.9627
Au 0.0000 0.0000 1.9618
```

Its formation energy is 0.374 eV/atom. The energy above the most stable polymorph in this dataset comes out at 69.8 meV/atom. As for the crystal system: tetragonal.